Below is crystalline Dy2HoCdPd4 at its relaxed geometry, with properties calculated at the PBE level.

Lattice parameters (Å, degrees): 4.892 4.892 6.845 90.00 90.00 90.00
Fractional coordinates of all 8 atoms:
Cd: 0.000 0.000 0.500
Dy: 0.000 0.000 0.000
Dy: 0.500 0.500 0.500
Ho: 0.500 0.500 0.000
Pd: 0.500 0.000 0.247
Pd: 0.000 0.500 0.247
Pd: 0.500 0.000 0.753
Pd: 0.000 0.500 0.753

Calculated values
Space-group type: P4/mmm
Final energy: -5.241 eV per atom
Formation energy: -0.82 eV/atom